This record from Alexandria describes crystalline Rb2CaIn3Bi4 at its relaxed geometry. The functional is PBE.

For the formation energy, the calculation gives -3.14 eV per formula unit. The density of states at the Fermi level is 0.282 states/eV/atom. Its symmetry is No. 115.

a b c (Å): 5.163 5.163 14.129
angles (deg): 90.00 90.00 90.00
Positions (direct):
Rb (0.000, 0.500, 0.760)
Bi (0.500, 0.000, 0.635)
Bi (0.000, 0.500, 0.365)
Ca (0.500, 0.500, 0.500)
In (0.000, 0.000, 0.500)
Bi (0.000, 0.000, 0.000)
Rb (0.500, 0.000, 0.240)
Bi (0.500, 0.500, 0.000)
In (0.500, 0.000, 0.865)
In (0.000, 0.500, 0.135)